Computed, not measured: TiFeS2 after structural relaxation at the PBE-GGA level of DFT.

```
4
Lattice="1.8410 0.0000 7.4701 -0.9205 1.5944 7.4701 -0.9205 -1.5944 7.4701" Properties=species:S:1:pos:R:3 pbc="T T T"
S 0.0000 0.0000 20.0281
S 0.0000 0.0000 2.3822
Fe 0.0000 0.0000 11.2052
Ti 0.0000 0.0000 0.0000
```

Calculated values
E above lowest polymorph   429.0 meV per atom
Raw formation energy   -0.22 eV/atom